YMn12 | meta-GGA SCAN | PBEsol geometry

Properties
**Symmetry**: I4/mmm, No. 139

Unit cell a=4.5046 b=6.1977 c=6.1977 alpha=82.41 beta=68.69 gamma=68.69
With the nearest neighbours (Å) after each atom.
Fractional positions:
Y  0.0000  0.0000  0.0000  20 Mn 2.91-3.10
Mn  0.5000  0.5000  0.0000  10 Mn 2.25-2.51
Mn  0.3647  0.6353  0.6353  1 Mn 2.21
Mn  0.0000  0.6353  0.3647  1 Mn 2.21
Mn  0.0000  0.3647  0.6353  1 Mn 2.21
Mn  0.6353  0.3647  0.3647  1 Mn 2.21
Mn  0.2736  0.2264  0.2264  10 Mn 2.34-2.61
Mn  0.5000  0.2264  0.7736  10 Mn 2.34-2.61
Mn  0.5000  0.7736  0.2264  10 Mn 2.34-2.61
Mn  0.7264  0.7736  0.7736  10 Mn 2.34-2.61
Mn  0.0000  0.5000  0.0000  10 Mn 2.25-2.51
Mn  0.5000  0.0000  0.5000  10 Mn 2.25-2.51
Mn  0.0000  0.0000  0.5000  10 Mn 2.25-2.51

YMn | meta-GGA SCAN | PBEsol geometry

Properties
**Symmetry**: P-6m2, No. 187

Unit cell a=3.3426 b=3.3426 c=4.4783 alpha=90.00 beta=90.00 gamma=120.00
With the nearest neighbours (Å) after each atom.
Fractional positions:
Y  0.6667  0.3333  0.5000  6 Mn 2.96
Mn  0.0000  0.0000  0.0000  6 Y 2.96

Y3Mn2 | meta-GGA SCAN | PBEsol geometry

Properties
**Symmetry**: P-3m1, No. 164

Unit cell a=4.7756 b=4.7756 c=5.9165 alpha=90.00 beta=90.00 gamma=120.00
With the nearest neighbours (Å) after each atom.
Fractional positions:
Mn  0.3333  0.6667  0.8774  7 Y 2.76-3.05
Mn  0.6667  0.3333  0.1226  7 Y 2.76-3.05
Y  0.0000  0.0000  0.0000  6 Mn 2.85
Y  0.3333  0.6667  0.3447  4 Mn 2.76-3.05
Y  0.6667  0.3333  0.6553  4 Mn 2.76-3.05

YMn3 | meta-GGA SCAN | PBEsol geometry

Properties
**Symmetry**: Pm-3m, No. 221

Unit cell a=4.0223 b=4.0223 c=4.0223 alpha=90.00 beta=90.00 gamma=90.00
With the nearest neighbours (Å) after each atom.
Fractional positions:
Mn  0.0000  0.0000  0.5000  4 Y 2.84, 8 Mn 2.84
Mn  0.0000  0.5000  0.0000  4 Y 2.84, 8 Mn 2.84
Mn  0.5000  0.0000  0.0000  4 Y 2.84, 8 Mn 2.84
Y  0.5000  0.5000  0.5000  12 Mn 2.84

YMn3 | meta-GGA SCAN | PBEsol geometry

Properties
**Symmetry**: P4/mmm, No. 123

Unit cell a=2.9168 b=2.9168 c=6.9225 alpha=90.00 beta=90.00 gamma=90.00
With the nearest neighbours (Å) after each atom.
Fractional positions:
Mn  0.0000  0.0000  0.6871  5 Mn 2.44-2.59
Mn  0.0000  0.0000  0.3129  5 Mn 2.44-2.59
Mn  0.5000  0.5000  0.5000  8 Mn 2.44
Y  0.5000  0.5000  0.0000  4 Y 2.92, 8 Mn 2.99

YMn | meta-GGA SCAN | PBEsol geometry

Properties
**Symmetry**: Cm, No. 8

Unit cell a=3.3278 b=5.9717 c=6.9120 alpha=110.29 beta=90.00 gamma=106.18
With the nearest neighbours (Å) after each atom.
Fractional positions:
Mn  0.7069  0.4138  0.7244  2 Mn 2.18
Mn  0.2636  0.5272  0.5744  4 Mn 2.18-2.41
Mn  0.6450  0.2900  0.3309  3 Mn 2.41-2.55
Y  0.9741  0.9482  0.9537  3 Mn 2.90-3.12, 2 Y 3.08-3.22
Y  0.9827  0.9654  0.4929  7 Mn 2.99-3.23, 3 Y 3.22-3.33
Y  0.2610  0.5220  0.0903  4 Mn 2.90-2.98, 1 Y 3.08

YMn3 | meta-GGA SCAN | PBEsol geometry

Properties
**Symmetry**: R-3m, No. 166

Unit cell a=2.9468 b=2.9468 c=8.5322 alpha=80.06 beta=80.06 gamma=60.00
With the nearest neighbours (Å) after each atom.
Fractional positions:
Mn  0.7342  0.7342  0.7973  3 Mn 2.40
Mn  0.0000  0.0000  0.0000  6 Mn 2.40
Mn  0.2658  0.2658  0.2027  3 Mn 2.40
Y  0.5000  0.5000  0.5000  6 Y 2.95, 6 Mn 3.01

YMnZn | meta-GGA SCAN | PBEsol geometry

Properties
**Symmetry**: I4mm, No. 107

Unit cell a=3.2765 b=3.2765 c=5.6252 alpha=106.93 beta=106.93 gamma=90.00
With the nearest neighbours (Å) after each atom.
Fractional positions:
Mn  0.0236  0.0236  0.0472  4 Zn 2.60
Y  0.3386  0.3386  0.6773  5 Mn 2.99-3.23, 5 Zn 3.07-3.10, 4 Y 3.28
Zn  0.6378  0.6378  0.2755  4 Mn 2.60

YMnZn | meta-GGA SCAN | PBEsol geometry

Properties
**Symmetry**: F-43m, No. 216

Unit cell a=4.6228 b=4.6228 c=4.6228 alpha=60.00 beta=60.00 gamma=60.00
With the nearest neighbours (Å) after each atom.
Fractional positions:
Mn  0.5000  0.5000  0.5000  4 Y 2.83
Y  0.2500  0.2500  0.2500  4 Zn 2.83, 4 Mn 2.83
Zn  0.0000  0.0000  0.0000  4 Y 2.83

YZr2Mn | meta-GGA SCAN | PBEsol geometry

Properties
**Excess energy over the best structure of this formula in the dataset**: 0.0012 eV/atom
**Symmetry**: P4/mmm, No. 123

Unit cell a=3.1829 b=3.1829 c=8.1706 alpha=90.00 beta=90.00 gamma=90.00
With the nearest neighbours (Å) after each atom.
Fractional positions:
Y  0.5000  0.5000  0.5000  4 Y 3.18, 8 Zr 3.43
Mn  0.5000  0.5000  0.0000  8 Zr 2.70
Zr  0.0000  0.0000  0.8169  4 Mn 2.70, 1 Zr 2.99
Zr  0.0000  0.0000  0.1831  4 Mn 2.70, 1 Zr 2.99

YZr2Mn | meta-GGA SCAN | PBEsol geometry

Properties
**Excess energy over the best structure of this formula in the dataset**: 0.0142 eV/atom
**Symmetry**: Immm, No. 71

Unit cell a=3.2910 b=5.1390 c=5.7369 alpha=116.61 beta=106.67 gamma=90.00
With the nearest neighbours (Å) after each atom.
Fractional positions:
Y  0.5000  0.0000  0.0000  4 Mn 3.05, 8 Zr 3.23-3.34, 2 Y 3.29
Mn  0.0000  0.5000  0.0000  4 Zr 2.55
Zr  0.7009  0.7009  0.4019  2 Mn 2.55
Zr  0.2991  0.2991  0.5981  2 Mn 2.55

YZrMn2 | meta-GGA SCAN | PBEsol geometry

Properties
**Symmetry**: P4/mmm, No. 123

Unit cell a=3.3137 b=3.3137 c=6.6178 alpha=90.00 beta=90.00 gamma=90.00
With the nearest neighbours (Å) after each atom.
Fractional positions:
Y  0.5000  0.5000  0.0000  8 Mn 3.04, 2 Zr 3.31, 4 Y 3.31
Mn  0.0000  0.0000  0.7076  4 Zr 2.72, 1 Mn 2.75, 4 Y 3.04
Mn  0.0000  0.0000  0.2924  4 Zr 2.72, 1 Mn 2.75, 4 Y 3.04
Zr  0.5000  0.5000  0.5000  8 Mn 2.72

| no. | calculated formation energy (meV per atom) | E (eV per cell) |
| --- | --- | --- |
| 1 | 10 | -246.78 |
| 2 | 254 | -45.59 |
| 3 | 102 | -119.53 |
| 4 | 86 | -82.27 |
| 5 | 68 | -82.34 |
| 6 | 73 | -137.86 |
| 7 | 355 | -81.19 |
| 8 | -187 | -60.18 |
| 9 | 501 | -58.11 |
| 10 | 73 | -107.21 |
| 11 | 86 | -107.15 |
| 12 | -62 | -95.30 |